(1)
VASP calculation (GGA-PBE) on a geometry-optimized Ti3HPb structure.

The structure belongs to space group Pm-3m (No. 221); the cell edges are 4.209, 4.209 and 4.209 Å and the angles 90.00°, 90.00° and 90.00°. The asymmetric unit holds Ti at (0.000, 0.000, 0.500), H at (0.000, 0.000, 0.000) and Pb at (0.500, 0.500, 0.500).

The calculation puts the relative energy among the computed polymorphs at 0.000 eV/atom. The total moment is 0.00 μB/f.u. Its total energy is -0.46733 Ry/atom.

---

(2)
VASP calculation (GGA-PBE) on a geometry-optimized Ti2HPb structure.

The structure belongs to space group Cmcm (No. 63); the cell edges are 3.805, 14.200 and 4.370 Å and the angles 90.00°, 90.00° and 90.00°. The asymmetric unit holds Ti at (0.000, 0.074, 0.250), Ti at (0.000, 0.258, 0.750), H at (0.000, 0.211, 0.250) and Pb at (0.000, 0.405, 0.250).

The calculation puts the relative energy among the computed polymorphs at 0.000 eV/atom. The total moment is 0.00 μB/f.u. Its total energy is -0.43255 Ry/atom.

---

(3)
VASP calculation (GGA-PBE) on a geometry-optimized Ti3HPb structure.

The structure belongs to space group R-3c (No. 167, hexagonal axes); the cell edges are 7.3659, 7.3659 and 9.8688 Å and the angles 90.00°, 90.00° and 120.00°. The asymmetric unit holds Ti at (0.0000, 0.2450, 0.2500), H at (0.0000, 0.0000, 0.2500) and Pb at (0.0000, 0.0000, 0.0000).

The calculation puts the relative energy among the computed polymorphs at 0.109 eV/atom. The total moment is 0.00 μB/f.u. Its total energy is -0.45929 Ry/atom.

---

(4)
VASP calculation (GGA-PBE) on a geometry-optimized Ti3HPb structure.

The structure belongs to space group P2_1/m (No. 11); the cell edges are 5.352, 5.796 and 5.377 Å and the angles 90.00°, 114.53° and 90.00°. The asymmetric unit holds Ti at (0.239, 0.250, 0.228), Ti at (0.249, 0.502, 0.758), H at (0.046, 0.250, 0.452) and Pb at (0.271, 0.750, 0.259).

The calculation puts the relative energy among the computed polymorphs at 0.049 eV/atom. The total moment is 1.02 μB/f.u. Its total energy is -0.46375 Ry/atom.

---

(5)
VASP calculation (GGA-PBE) on a geometry-optimized Ti3HPb structure.

The structure belongs to space group Amm2 (No. 38); the cell edges are 2.932, 5.338 and 14.318 Å and the angles 90.00°, 90.00° and 90.00°. The asymmetric unit holds Ti at (0.000, 0.000, 0.000), Ti at (0.500, 0.244, 0.367), H at (0.000, 0.000, 0.864) and Pb at (0.500, 0.000, 0.181).

The calculation puts the relative energy among the computed polymorphs at 0.713 eV/atom. The total moment is 0.00 μB/f.u. Its total energy is -0.41492 Ry/atom.

---

(6)
VASP calculation (GGA-PBE) on a geometry-optimized Ti3HPb structure.

The structure belongs to space group C2 (No. 5); the cell edges are 9.965, 6.232 and 4.860 Å and the angles 90.00°, 93.51° and 90.00°. The asymmetric unit holds Ti at (0.095, 0.000, 0.229), Ti at (0.095, 0.479, 0.231), Ti at (0.140, 0.737, 0.739), H at (0.000, 0.740, 0.000), H at (0.000, 0.853, 0.500) and Pb at (0.165, 0.241, 0.737).

The calculation puts the relative energy among the computed polymorphs at 0.013 eV/atom. The total moment is 0.00 μB/f.u. Its total energy is -0.46639 Ry/atom.

---

(7)
VASP calculation (GGA-PBE) on a geometry-optimized Ti2HPb structure.

The structure belongs to space group Fm-3m (No. 225); the cell edges are 6.464, 6.464 and 6.464 Å and the angles 90.00°, 90.00° and 90.00°. The asymmetric unit holds Ti at (0.250, 0.250, 0.250), H at (0.000, 0.000, 0.000) and Pb at (0.000, 0.000, 0.500).

The calculation puts the relative energy among the computed polymorphs at 0.635 eV/atom. The total moment is 0.00 μB/f.u. Its total energy is -0.38591 Ry/atom.

---

(8)
VASP calculation (GGA-PBE) on a geometry-optimized Ti3HPb structure.

The structure belongs to space group R-3 (No. 148, hexagonal axes); the cell edges are 5.3632, 5.3632 and 20.5879 Å and the angles 90.00°, 90.00° and 120.00°. The asymmetric unit holds Ti at (0.0112, 0.3597, 0.2825), H at (0.0000, 0.0000, 0.3318) and Pb at (0.0000, 0.0000, 0.1701).

The calculation puts the relative energy among the computed polymorphs at 0.230 eV/atom. The total moment is 0.00 μB/f.u. Its total energy is -0.45042 Ry/atom.

---

(9)
VASP calculation (GGA-PBE) on a geometry-optimized Ti2HPb structure.

The structure belongs to space group Cm (No. 8); the cell edges are 5.607, 3.234 and 7.120 Å and the angles 90.00°, 105.28° and 90.00°. The asymmetric unit holds Ti at (0.000, 0.000, 0.000), Ti at (0.236, 0.000, 0.702), H at (0.117, 0.500, 0.848) and Pb at (0.285, 0.500, 0.350).

The calculation puts the relative energy among the computed polymorphs at 0.067 eV/atom. The total moment is 0.99 μB/f.u. Its total energy is -0.42762 Ry/atom.

---

(10)
VASP calculation (GGA-PBE) on a geometry-optimized Ti3HPb structure.

The structure belongs to space group Pm-3m (No. 221); the cell edges are 5.317, 5.317 and 5.317 Å and the angles 90.00°, 90.00° and 90.00°. The asymmetric unit holds Ti at (0.000, 0.000, 0.500), H at (0.500, 0.500, 0.500) and Pb at (0.000, 0.000, 0.000).

The calculation puts the relative energy among the computed polymorphs at 1.926 eV/atom. The total moment is 7.00 μB/f.u. Its total energy is -0.32579 Ry/atom.

---

(11)
VASP calculation (GGA-PBE) on a geometry-optimized Ti3H2Pb structure.

The structure belongs to space group P2_1/m (No. 11); the cell edges are 5.622, 3.030 and 9.756 Å and the angles 90.00°, 97.46° and 90.00°. The asymmetric unit holds Ti at (0.045, 0.250, 0.374), Ti at (0.256, 0.250, 0.884), Ti at (0.388, 0.250, 0.618), H at (0.273, 0.750, 0.734), H at (0.407, 0.250, 0.421) and Pb at (0.250, 0.750, 0.145).

The total moment is 0.00 μB/f.u. Its total energy is -0.42957 Ry/atom.

---

(12)
VASP calculation (GGA-PBE) on a geometry-optimized Ti6HPb structure.

The structure belongs to space group R-3m (No. 166, hexagonal axes); the cell edges are 8.1085, 8.1085 and 6.7584 Å and the angles 90.00°, 90.00° and 120.00°. The asymmetric unit holds Ti at (0.0766, 0.5383, 0.3150), H at (0.0000, 0.0000, 0.5000) and Pb at (0.0000, 0.0000, 0.0000).

The total moment is 0.00 μB/f.u. Its total energy is -0.50374 Ry/atom.

---

(13)
VASP calculation (GGA-PBE) on a geometry-optimized TiHPb3 structure.

The structure belongs to space group Pm-3m (No. 221); the cell edges are 4.803, 4.803 and 4.803 Å and the angles 90.00°, 90.00° and 90.00°. The asymmetric unit holds Ti at (0.000, 0.000, 0.000), H at (0.500, 0.500, 0.500) and Pb at (0.000, 0.500, 0.500).

The calculation puts the relative energy among the computed polymorphs at 0.000 eV/atom. The total moment is 0.00 μB/f.u. Its total energy is -0.29796 Ry/atom.

---

(14)
VASP calculation (GGA-PBE) on a geometry-optimized Ti4HPb structure.

The structure belongs to space group P2_1 (No. 4); the cell edges are 4.587, 5.742 and 7.351 Å and the angles 90.00°, 108.19° and 90.00°. The asymmetric unit holds Ti at (0.000, 0.000, 0.000), Ti at (0.198, 0.496, 0.396), Ti at (0.199, 0.998, 0.397), Ti at (0.393, 0.749, 0.786), H at (0.098, 0.248, 0.197) and Pb at (0.395, 0.249, 0.790).

The calculation puts the relative energy among the computed polymorphs at 0.000 eV/atom. The total moment is 0.00 μB/f.u. Its total energy is -0.48150 Ry/atom.

---

(15)
VASP calculation (GGA-PBE) on a geometry-optimized Ti4HPb structure.

The structure belongs to space group Pmma (No. 51); the cell edges are 7.550, 3.050 and 8.730 Å and the angles 90.00°, 90.00° and 90.00°. The asymmetric unit holds Ti at (0.000, 0.000, 0.000), Ti at (0.071, 0.500, 0.274), Ti at (0.250, 0.500, 0.826), H at (0.250, 0.000, 0.950) and Pb at (0.250, 0.000, 0.535).

The calculation puts the relative energy among the computed polymorphs at 0.206 eV/atom. The total moment is 0.00 μB/f.u. Its total energy is -0.46636 Ry/atom.

---

(16)
VASP calculation (GGA-PBE) on a geometry-optimized Ti3HPb structure.

The structure belongs to space group Cm (No. 8); the cell edges are 10.104, 6.020 and 5.171 Å and the angles 90.00°, 102.90° and 90.00°. The asymmetric unit holds Ti at (0.000, 0.000, 0.000), Ti at (0.020, 0.243, 0.551), Ti at (0.264, 0.252, 0.928), Ti at (0.282, 0.500, 0.470), H at (0.158, 0.500, 0.691), H at (0.441, 0.500, 0.332), Pb at (0.023, 0.500, 0.058) and Pb at (0.257, 0.000, 0.427).

The calculation puts the relative energy among the computed polymorphs at 0.019 eV/atom. The total moment is 0.00 μB/f.u. Its total energy is -0.46594 Ry/atom.

---

(17)
VASP calculation (GGA-PBE) on a geometry-optimized TiHPb structure.

The structure belongs to space group Cm (No. 8); the cell edges are 10.628, 3.146 and 7.370 Å and the angles 90.00°, 130.77° and 90.00°. The asymmetric unit holds Ti at (0.000, 0.000, 0.000), Ti at (0.138, 0.000, 0.782), H at (0.105, 0.500, 0.951), H at (0.261, 0.500, 0.842), Pb at (0.289, 0.000, 0.538) and Pb at (0.432, 0.000, 0.290).

The calculation puts the relative energy among the computed polymorphs at 0.123 eV/atom. The total moment is 0.00 μB/f.u. Its total energy is -0.36764 Ry/atom.

---

(18)
VASP calculation (GGA-PBE) on a geometry-optimized Ti3HPb structure.

The structure belongs to space group P2_1/m (No. 11); the cell edges are 4.527, 5.741 and 7.154 Å and the angles 90.00°, 108.22° and 90.00°. The asymmetric unit holds Ti at (0.113, 0.250, 0.222), Ti at (0.297, 0.503, 0.595), H at (0.396, 0.750, 0.792) and Pb at (0.103, 0.750, 0.201).

The calculation puts the relative energy among the computed polymorphs at 0.220 eV/atom. The total moment is 0.00 μB/f.u. Its total energy is -0.45115 Ry/atom.

---

(19)
VASP calculation (GGA-PBE) on a geometry-optimized Ti3HPb structure.

The structure belongs to space group P2_1/c (No. 14); the cell edges are 7.441, 5.664 and 9.689 Å and the angles 90.00°, 130.03° and 90.00°. The asymmetric unit holds Ti at (0.000, 0.000, 0.250), Ti at (0.271, 0.248, 0.151), Ti at (0.478, 0.750, 0.477), H at (0.201, 0.250, 0.423) and Pb at (0.223, 0.748, 0.103).

The calculation puts the relative energy among the computed polymorphs at 0.135 eV/atom. The total moment is 0.00 μB/f.u. Its total energy is -0.45741 Ry/atom.

---

(20)
VASP calculation (GGA-PBE) on a geometry-optimized Ti3HPb structure.

The structure belongs to space group P2_1/c (No. 14); the cell edges are 7.666, 5.526 and 7.457 Å and the angles 90.00°, 99.73° and 90.00°. The asymmetric unit holds Ti at (0.054, 0.113, 0.190), Ti at (0.174, 0.580, 0.066), Ti at (0.308, 0.111, 0.936), H at (0.072, 0.227, 0.447) and Pb at (0.413, 0.612, 0.804).

The calculation puts the relative energy among the computed polymorphs at 0.111 eV/atom. The total moment is 0.00 μB/f.u. Its total energy is -0.45917 Ry/atom.

---

(21)
VASP calculation (GGA-PBE) on a geometry-optimized Ti3HPb structure.

The structure belongs to space group Cmcm (No. 63); the cell edges are 5.612, 10.296 and 5.635 Å and the angles 90.00°, 90.00° and 90.00°. The asymmetric unit holds Ti at (0.000, 0.000, 0.000), Ti at (0.241, 0.283, 0.250), H at (0.000, 0.112, 0.750) and Pb at (0.000, 0.449, 0.750).

The calculation puts the relative energy among the computed polymorphs at 0.260 eV/atom. The total moment is 0.00 μB/f.u. Its total energy is -0.44826 Ry/atom.

---

(22)
VASP calculation (GGA-PBE) on a geometry-optimized Ti3HPb structure.

The structure belongs to space group I-4m2 (No. 119); the cell edges are 5.330, 5.330 and 11.767 Å and the angles 90.00°, 90.00° and 90.00°. The asymmetric unit holds Ti at (0.000, 0.000, 0.186), Ti at (0.000, 0.256, 0.624), H at (0.000, 0.000, 0.500), H at (0.000, 0.500, 0.750) and Pb at (0.000, 0.500, 0.105).

The calculation puts the relative energy among the computed polymorphs at 0.340 eV/atom. The total moment is 0.00 μB/f.u. Its total energy is -0.44233 Ry/atom.

---

(23)
VASP calculation (GGA-PBE) on a geometry-optimized TiHPb3 structure.

The structure belongs to space group Pm-3m (No. 221); the cell edges are 5.417, 5.417 and 5.417 Å and the angles 90.00°, 90.00° and 90.00°. The asymmetric unit holds Ti at (0.000, 0.000, 0.000), H at (0.500, 0.500, 0.500) and Pb at (0.000, 0.000, 0.500).

The calculation puts the relative energy among the computed polymorphs at 0.251 eV/atom. The total moment is 1.00 μB/f.u. Its total energy is -0.27950 Ry/atom.